No. 1
Density functional theory data (GGA-PBE) for crystalline Cs2HgAs2 at its relaxed geometry.

As for the space group: I4/mmm. For the formation energy, the calculation gives -0.21 eV per atom. The offset from the most stable computed form comes out at 99.0 meV/atom. For the total energy, the calculation gives -12.34 eV per formula unit.

a b c (Å): 6.778 6.778 6.778
angles (deg): 117.60 117.60 94.22
Sites, in units of the cell vectors:
1 Cs 0.250 0.750 0.500
2 Cs 0.750 0.250 0.500
3 Hg 0.000 0.000 0.000
4 As 0.375 0.375 0.000
5 As 0.625 0.625 0.000

---

No. 2
Density functional theory data (GGA-PBE) for crystalline Cs2HgAs2 at its relaxed geometry.

As for the space group: C2/m. For the formation energy, the calculation gives -0.31 eV per atom. The offset from the most stable computed form comes out at 0.0 meV/atom. For the total energy, the calculation gives -12.84 eV per formula unit.

a b c (Å): 6.657 6.657 11.971
angles (deg): 114.37 114.37 52.28
Sites, in units of the cell vectors:
1 Cs 0.083 0.083 0.386
2 Cs 0.323 0.323 0.818
3 Cs 0.677 0.677 0.182
4 Cs 0.917 0.917 0.614
5 Hg 0.347 0.347 0.147
6 Hg 0.653 0.653 0.853
7 As 0.076 0.076 0.961
8 As 0.399 0.399 0.409
9 As 0.601 0.601 0.591
10 As 0.924 0.924 0.039